No. 1
# Tl4CuPb

Crystalline Tl4CuPb at its relaxed geometry (PBE-GGA, the Alexandria database).

Structure (extended XYZ):
```
6
Lattice="1.987 -0.443 6.058 -4.240 0.217 4.778 -1.257 -5.264 3.399" Properties=species:S:1:pos:R:3 pbc="T T T"
Tl -0.323 -2.280 8.366
Tl -1.945 -4.690 7.037
Tl -3.435 -1.950 7.726
Tl -1.316 -2.059 5.339
Cu -2.632 -4.118 10.676
Pb 0.000 0.000 0.000
```

Results
DFT formation energy ... 0.403 eV/atom
DFT total energy ... -14.85 eV for the cell shown
Space group ... F-43m (216)

***

No. 2
# Tl2Cu2Pb

Crystalline Tl2Cu2Pb at its relaxed geometry (PBE-GGA, the Alexandria database).

Structure (extended XYZ):
```
5
Lattice="3.450 0.000 0.000 0.000 3.450 0.000 1.725 1.725 9.979" Properties=species:S:1:pos:R:3 pbc="T T T"
Pb 0.000 0.000 0.000
Tl 1.725 1.725 2.597
Tl 3.450 3.450 7.382
Cu 3.450 1.725 4.989
Cu 1.725 3.450 4.989
```

Results
Excess energy over the best structure of this formula in the dataset ... 0.0000 eV/atom
DFT formation energy ... 0.208 eV/atom
DFT total energy ... -15.59 eV for the cell shown
Space group ... I4/mmm (139)

***

No. 3
# TlCu2Pb

Crystalline TlCu2Pb at its relaxed geometry (PBE-GGA, the Alexandria database).

Structure (extended XYZ):
```
4
Lattice="6.329 -0.690 -0.413 5.377 3.409 -0.413 5.377 1.249 3.198" Properties=species:S:1:pos:R:3 pbc="T T T"
Cu 16.246 3.772 2.256
Cu 5.056 1.174 0.702
Pb 9.033 2.097 1.254
Tl 12.374 2.873 1.718
```

Results
DFT formation energy ... 0.218 eV/atom
DFT total energy ... -13.39 eV for the cell shown
Space group ... R3m (160)

***

No. 4
# TlCu2Pb

Crystalline TlCu2Pb at its relaxed geometry (PBE-GGA, the Alexandria database).

Structure (extended XYZ):
```
4
Lattice="5.025 0.010 0.004 4.016 3.020 0.004 1.520 0.509 5.672" Properties=species:S:1:pos:R:3 pbc="T T T"
Cu 1.761 0.590 5.594
Cu 7.693 2.578 4.362
Pb 5.188 1.739 3.249
Tl 2.719 0.911 0.988
```

Results
DFT formation energy ... 0.294 eV/atom
DFT total energy ... -13.09 eV for the cell shown
Space group ... Cm (8)

***

no.,DOS(E_F) (states/eV/cell)
1,3.63
2,3.06
3,1.93
4,1.59